Here is a geometry-optimized RbNaTiBr2 structure from the Alexandria database. Energies are from PBE.

Results
Calculated total energy = -3.20 eV/atom
Formation energy from raw total energies = -0.50 eV per atom
Density of states at the Fermi level = 0.72 states/eV/atom
ρ = 3.04 Mg/m³

Geometry as CIF:
```
data_RbNaTiBr2
_chemical_formula_sum 'Rb1 Na1 Ti1 Br2'
_symmetry_space_group_name_H-M 'P 4/m m m'
_symmetry_Int_Tables_number 123
_symmetry_space_group_name_Hall '-P 4 2'
_cell_length_a 5.321
_cell_length_b 5.321
_cell_length_c 6.105
_cell_angle_alpha 90.00
_cell_angle_beta 90.00
_cell_angle_gamma 90.00
loop_
_atom_site_label
_atom_site_type_symbol
_atom_site_fract_x
_atom_site_fract_y
_atom_site_fract_z
Rb1 Rb 0.000 0.000 0.000
Na1 Na 0.500 0.500 0.000
Ti1 Ti 0.500 0.500 0.500
Br1 Br 0.000 0.500 0.500
```

Here is a geometry-optimized HfUAs3 structure from the Alexandria database. Energies are from PBE.

Results
Energy of formation = -626 meV/atom
Calculated total energy = -7.66 eV/atom
Density of states at the Fermi level = 1.35 states/eV/atom
ρ = 9.97 Mg/m³

Geometry as CIF:
```
data_HfUAs3
_chemical_formula_sum 'Hf4 U4 As12'
_symmetry_space_group_name_H-M 'P b c m'
_symmetry_Int_Tables_number 57
_symmetry_space_group_name_Hall '-P 2c 2b'
_cell_length_a 12.208
_cell_length_b 5.845
_cell_length_c 5.988
_cell_angle_alpha 90.00
_cell_angle_beta 90.00
_cell_angle_gamma 90.00
loop_
_atom_site_label
_atom_site_type_symbol
_atom_site_fract_x
_atom_site_fract_y
_atom_site_fract_z
Hf1 Hf 0.086 0.250 0.000
U1 U 0.324 0.514 0.250
As1 As 0.089 0.625 0.250
As2 As 0.252 0.025 0.250
As3 As 0.498 0.250 0.000
```

Here is a geometry-optimized SiTcOs2 structure from the Alexandria database. Energies are from PBE.

Results
Calculated total energy = -9.36 eV/atom
Formation energy from raw total energies = 0.21 eV per atom
Density of states at the Fermi level = 0.98 states/eV/atom
ρ = 14.97 Mg/m³

Geometry as CIF:
```
data_SiTcOs2
_chemical_formula_sum 'Si1 Tc1 Os2'
_symmetry_space_group_name_H-M 'P 4/m m m'
_symmetry_Int_Tables_number 123
_symmetry_space_group_name_Hall '-P 4 2'
_cell_length_a 4.405
_cell_length_b 4.405
_cell_length_c 2.895
_cell_angle_alpha 90.00
_cell_angle_beta 90.00
_cell_angle_gamma 90.00
loop_
_atom_site_label
_atom_site_type_symbol
_atom_site_fract_x
_atom_site_fract_y
_atom_site_fract_z
Si1 Si 0.000 0.000 0.000
Tc1 Tc 0.500 0.500 0.000
Os1 Os 0.000 0.500 0.500
```

Here is a geometry-optimized Sm4ErGe4 structure from the Alexandria database. Energies are from PBE.

Results
Energy of formation = -594 meV/atom
Calculated total energy = -5.25 eV/atom
Density of states at the Fermi level = 1.05 states/eV/atom
ρ = 7.16 Mg/m³

Geometry as CIF:
```
data_Sm4ErGe4
_chemical_formula_sum 'Sm8 Er2 Ge8'
_symmetry_space_group_name_H-M 'P 42/n'
_symmetry_Int_Tables_number 86
_cell_length_a 9.042
_cell_length_b 9.042
_cell_length_c 6.012
_cell_angle_alpha 90.00
_cell_angle_beta 90.00
_cell_angle_gamma 90.00
loop_
_symmetry_equiv_pos_as_xyz
'x,y,z'
'-x,-y,-z'
'-y,x+1/2,z+1/2'
'y,-x+1/2,-z+1/2'
'-x+1/2,-y+1/2,z'
'x+1/2,y+1/2,-z'
'y+1/2,-x,z+1/2'
'-y+1/2,x,-z+1/2'
loop_
_atom_site_label
_atom_site_type_symbol
_atom_site_fract_x
_atom_site_fract_y
_atom_site_fract_z
Sm1 Sm 0.055 0.669 0.123
Er1 Er 0.250 0.250 0.250
Ge1 Ge 0.016 0.628 0.615
```

Here is a geometry-optimized La8CuIr3Cl4 structure from the Alexandria database. Energies are from PBE.

Results
Calculated total energy = -6.05 eV/atom
Formation energy from raw total energies = -1.21 eV per atom
Density of states at the Fermi level = 0.62 states/eV/atom
ρ = 6.75 Mg/m³

Geometry as CIF:
```
data_La8CuIr3Cl4
_chemical_formula_sum 'La16 Cu2 Ir6 Cl8'
_symmetry_space_group_name_H-M 'C 1 2/m 1'
_symmetry_Int_Tables_number 12
_symmetry_space_group_name_Hall '-C 2y'
_cell_length_a 14.560
_cell_length_b 8.406
_cell_length_c 9.035
_cell_angle_alpha 90.00
_cell_angle_beta 122.55
_cell_angle_gamma 90.00
loop_
_atom_site_label
_atom_site_type_symbol
_atom_site_fract_x
_atom_site_fract_y
_atom_site_fract_z
La1 La 0.017 0.244 0.294
La2 La 0.236 0.000 0.706
La3 La 0.240 0.500 0.705
Cu1 Cu 0.000 0.500 0.500
Ir1 Ir 0.000 0.000 0.500
Ir2 Ir 0.250 0.250 0.500
Cl1 Cl 0.000 0.000 0.000
Cl2 Cl 0.000 0.500 0.000
Cl3 Cl 0.250 0.250 0.000
```

Here is a geometry-optimized OsRh2Au structure from the Alexandria database. Energies are from PBE.

Results
Energy of formation = 66 meV/atom
Calculated total energy = -7.24 eV/atom
Offset from the most stable computed form = 0 meV per atom
Density of states at the Fermi level = 0.78 states/eV/atom
ρ = 16.27 Mg/m³

Geometry as CIF:
```
data_OsRh2Au
_chemical_formula_sum 'Os1 Rh2 Au1'
_symmetry_space_group_name_H-M 'P 4/m m m'
_symmetry_Int_Tables_number 123
_symmetry_space_group_name_Hall '-P 4 2'
_cell_length_a 2.765
_cell_length_b 2.765
_cell_length_c 7.915
_cell_angle_alpha 90.00
_cell_angle_beta 90.00
_cell_angle_gamma 90.00
loop_
_atom_site_label
_atom_site_type_symbol
_atom_site_fract_x
_atom_site_fract_y
_atom_site_fract_z
Os1 Os 0.000 0.000 0.000
Rh1 Rh 0.500 0.500 0.230
Au1 Au 0.000 0.000 0.500
```

Here is a geometry-optimized GdHoTlCo structure from the Alexandria database. Energies are from PBE.

Results
Energy of formation = -105 meV/atom
Calculated total energy = -7.14 eV/atom
Density of states at the Fermi level = 0.65 states/eV/atom
ρ = 10.25 Mg/m³

Geometry as CIF:
```
data_GdHoTlCo
_chemical_formula_sum 'Gd4 Ho4 Tl4 Co4'
_symmetry_space_group_name_H-M 'F -4 3 m'
_symmetry_Int_Tables_number 216
_symmetry_space_group_name_Hall 'F -4 2 3'
_cell_length_a 7.240
_cell_length_b 7.240
_cell_length_c 7.240
_cell_angle_alpha 90.00
_cell_angle_beta 90.00
_cell_angle_gamma 90.00
loop_
_atom_site_label
_atom_site_type_symbol
_atom_site_fract_x
_atom_site_fract_y
_atom_site_fract_z
Gd1 Gd 0.000 0.000 0.000
Ho1 Ho 0.000 0.000 0.500
Tl1 Tl 0.250 0.250 0.250
Co1 Co 0.250 0.250 0.750
```

Here is a geometry-optimized Hg4SbTe structure from the Alexandria database. Energies are from PBE.

Results
Calculated total energy = -1.08 eV/atom
Formation energy from raw total energies = 0.33 eV per atom
Density of states at the Fermi level = 1.07 states/eV/atom
ρ = 10.80 Mg/m³

Geometry as CIF:
```
data_Hg4SbTe
_chemical_formula_sum 'Hg16 Sb4 Te4'
_symmetry_space_group_name_H-M 'F -4 3 m'
_symmetry_Int_Tables_number 216
_symmetry_space_group_name_Hall 'F -4 2 3'
_cell_length_a 8.647
_cell_length_b 8.647
_cell_length_c 8.647
_cell_angle_alpha 90.00
_cell_angle_beta 90.00
_cell_angle_gamma 90.00
loop_
_atom_site_label
_atom_site_type_symbol
_atom_site_fract_x
_atom_site_fract_y
_atom_site_fract_z
Hg1 Hg 0.125 0.125 0.125
Sb1 Sb 0.250 0.250 0.750
Te1 Te 0.000 0.000 0.500
```